Compound: ZnC2
Source: the Open Quantum Materials Database
Functional: PBE-GGA
Structure: relaxed

Cell: 5.572 5.572 5.572 Å, 155.45 155.45 34.99°
Fractional coordinates of all 3 atoms:
C 0.246 0.246 0.000
C 0.754 0.754 0.000
Zn 0.000 0.000 0.000


Compound: ZnC
Source: the Open Quantum Materials Database
Functional: PBE-GGA
Structure: relaxed

Cell: 3.156 3.156 3.156 Å, 57.59 57.59 57.59°
Fractional coordinates of all 2 atoms:
C 0.000 0.000 0.000
Zn 0.500 0.500 0.500


no.,E above lowest polymorph (kJ/mol of atoms)
1,0.0
2,1.8